K3Nb5O12: optimized geometry, PBE.

```
K3Nb5O12
1.0
11.8269 0.0000 0.0000
-3.9423 11.1505 0.0000
-3.9423 -5.5752 9.6566
K Nb O
12 20 48
Cartesian
6.8990 3.4845 1.2071
6.8990 7.6660 1.2071
-0.9856 4.8783 6.0354
0.9856 -0.6969 3.6212
8.8702 0.0000 2.4142
0.9856 5.5752 2.4142
2.9567 0.0000 7.2425
-4.9279 5.5752 7.2425
2.9567 6.2722 6.0354
4.9279 0.6969 3.6212
-2.9567 -2.0907 8.4495
-2.9567 2.0907 8.4495
-0.9856 2.7876 2.4142
-1.9711 5.5752 0.0000
0.0000 0.0000 0.0000
2.9567 2.0907 1.2071
3.9423 -2.7876 4.8283
3.9423 5.5752 0.0000
-2.9567 6.2722 3.6212
4.9279 -3.4845 8.4495
4.9279 4.8783 3.6212
0.9856 -2.7876 7.2425
2.9567 8.3629 2.4142
1.9711 2.7876 4.8283
5.9134 0.0000 0.0000
-1.9711 -2.7876 4.8283
-0.9856 0.6969 6.0354
-0.9856 9.0598 1.2071
-3.9423 2.7876 4.8283
6.8990 -0.6969 6.0354
0.9856 3.4845 8.4495
4.9279 2.7876 7.2425
3.7115 -4.3743 9.6148
0.2308 3.3519 3.7673
-2.7619 2.6193 3.0816
4.7331 1.4285 1.0192
1.4190 3.7720 6.6168
-3.0833 5.7677 1.7885
-1.1804 6.7660 4.1007
-2.7619 9.7219 1.0192
4.4945 -3.7720 6.6168
5.0544 5.3828 1.7885
6.1443 3.4243 3.8091
2.2020 4.3743 9.6148
-3.3901 4.8287 4.7865
2.8302 3.9301 0.7276
-4.1731 7.7262 3.8091
2.2020 -2.2233 5.8893
-0.5522 1.0567 1.7467
2.8302 7.0279 1.0610
4.7331 8.5312 3.0816
-0.8590 4.1226 1.0610
1.4190 -4.5185 7.9099
3.1515 4.3845 4.1007
5.3613 6.3218 4.7865
4.8013 -1.6452 8.9290
0.7908 1.1907 5.5559
-1.4190 -0.7465 4.8701
-0.8590 7.2204 0.7276
-0.7908 -2.9560 6.5750
2.5233 10.0937 1.7467
4.8013 1.4527 8.5956
1.1121 -1.4527 8.5956
1.7403 7.7986 3.7673
4.4945 4.5185 7.9099
8.1154 -2.1509 5.8475
7.3324 0.7465 4.8701
1.7403 1.2010 0.0418
1.1121 1.6452 8.9290
-0.5522 9.3472 3.0398
-1.1121 0.1925 7.8681
-2.2020 2.1509 5.8475
6.7042 -4.1467 8.6375
5.1227 -1.1907 5.5559
-0.7908 4.1467 8.6375
7.0255 -0.1925 7.8681
2.5233 1.8033 3.0398
6.7042 2.9560 6.5750
3.7115 2.2233 5.8893
0.2308 9.9495 0.0418
```

Calculated values
E = -159.13 eV per formula unit
Formation energy without anion corrections = -2.2993 eV per atom
DOS(E_F) = 0.332 states/eV/atom